Entry A
PuUIrPt | PBE-GGA | optimized geometry

* space-group type: No. 216

Lattice parameters (Å, degrees): 4.8827 4.8827 4.8827 60.00 60.00 60.00
Last column: nearest neighbours and their distance in Å.
Atoms (fractional coordinates):
Pu  0.0000  0.0000  0.0000  4 Ir 2.99, 4 Pt 2.99
U  0.5000  0.5000  0.5000  4 Ir 2.99, 4 Pt 2.99
Ir  0.7500  0.7500  0.7500  4 U 2.99, 4 Pu 2.99
Pt  0.2500  0.2500  0.2500  4 U 2.99, 4 Pu 2.99

=====

Entry B
PuUIrPt | PBE-GGA | optimized geometry

* space-group type: No. 216

Lattice parameters (Å, degrees): 4.6870 4.6870 4.6870 60.00 60.00 60.00
Last column: nearest neighbours and their distance in Å.
Atoms (fractional coordinates):
Pu  0.0000  0.0000  0.0000  4 Pt 2.87, 4 U 2.87
U  0.2500  0.2500  0.2500  4 Ir 2.87, 4 Pu 2.87
Ir  0.5000  0.5000  0.5000  4 U 2.87, 4 Pt 2.87
Pt  0.7500  0.7500  0.7500  4 Ir 2.87, 4 Pu 2.87

=====

The most stable arrangement is entry B, and the next structure is 219 meV per atom less stable.

=====

Entry A
RbIr3Pt | PBE-GGA | optimized geometry

* space-group type: No. 221

Lattice parameters (Å, degrees): 4.9565 4.9565 4.9565 90.00 90.00 90.00
Last column: nearest neighbours and their distance in Å.
Atoms (fractional coordinates):
Rb  0.0000  0.0000  0.0000  12 Ir 3.50
Ir  0.0000  0.5000  0.5000  2 Pt 2.48
Ir  0.5000  0.0000  0.5000  2 Pt 2.48
Ir  0.5000  0.5000  0.0000  2 Pt 2.48
Pt  0.5000  0.5000  0.5000  6 Ir 2.48

=====

Entry B
RbIr3Pt | PBE-GGA | optimized geometry

* space-group type: No. 221

Lattice parameters (Å, degrees): 4.7669 4.7669 4.7669 90.00 90.00 90.00
Last column: nearest neighbours and their distance in Å.
Atoms (fractional coordinates):
Rb  0.0000  0.0000  0.0000  6 Ir 2.38
Ir  0.0000  0.0000  0.5000  2 Rb 2.38
Ir  0.0000  0.5000  0.0000  2 Rb 2.38
Ir  0.5000  0.0000  0.0000  2 Rb 2.38
Pt  0.5000  0.5000  0.5000  12 Ir 3.37

=====

The most stable arrangement is entry A, and the next structure is 1795 meV per atom less stable.

=====

Entry A
RbIr2Pt | PBE-GGA | optimized geometry

* space-group type: No. 225

Lattice parameters (Å, degrees): 4.7191 4.7191 4.7191 60.00 60.00 60.00
Last column: nearest neighbours and their distance in Å.
Atoms (fractional coordinates):
Rb  0.0000  0.0000  0.0000  8 Ir 2.89
Ir  0.2500  0.2500  0.2500  4 Rb 2.89, 4 Pt 2.89
Ir  0.7500  0.7500  0.7500  4 Rb 2.89, 4 Pt 2.89
Pt  0.5000  0.5000  0.5000  8 Ir 2.89

=====

Entry B
RbIr2Pt | PBE-GGA | optimized geometry

* space-group type: No. 122

Lattice parameters (Å, degrees): 9.6604 9.6604 9.6604 150.65 150.65 41.99
Last column: nearest neighbours and their distance in Å.
Atoms (fractional coordinates):
Rb  0.0000  0.0000  0.0000  4 Pt 3.46, 8 Ir 3.47-3.63
Rb  0.7500  0.2500  0.5000  4 Pt 3.46, 8 Ir 3.47-3.63
Ir  0.3514  0.1250  0.7264  2 Ir 2.46, 2 Pt 2.57
Ir  0.3750  0.6486  0.7736  2 Ir 2.46, 2 Pt 2.57
Ir  0.3986  0.6250  0.2736  2 Ir 2.46, 2 Pt 2.57
Ir  0.8750  0.6014  0.2264  2 Ir 2.46, 2 Pt 2.57
Pt  0.2500  0.7500  0.5000  4 Ir 2.57
Pt  0.5000  0.5000  0.0000  4 Ir 2.57

=====

The most stable arrangement is entry B, and the next structure is 674 meV per atom less stable.

=====

Entry A
Re2IrPt | PBE-GGA | optimized geometry

* space-group type: No. 225

Lattice parameters (Å, degrees): 4.4289 4.4289 4.4289 60.00 60.00 60.00
Last column: nearest neighbours and their distance in Å.
Atoms (fractional coordinates):
Re  0.2500  0.2500  0.2500  4 Pt 2.71, 4 Ir 2.71
Re  0.7500  0.7500  0.7500  4 Pt 2.71, 4 Ir 2.71
Ir  0.0000  0.0000  0.0000  8 Re 2.71
Pt  0.5000  0.5000  0.5000  8 Re 2.71

=====

Entry B
Re2IrPt | PBE-GGA | optimized geometry

* space-group type: No. 123

Lattice parameters (Å, degrees): 2.7188 2.7188 8.0463 90.00 90.00 90.00
Last column: nearest neighbours and their distance in Å.
Atoms (fractional coordinates):
Re  0.0000  0.0000  0.2444  4 Re 2.72, 4 Ir 2.75, 4 Pt 2.82
Re  0.0000  0.0000  0.7556  4 Re 2.72, 4 Ir 2.75, 4 Pt 2.82
Ir  0.5000  0.5000  0.0000  4 Ir 2.72, 8 Re 2.75
Pt  0.5000  0.5000  0.5000  4 Pt 2.72, 8 Re 2.82

=====

Entry C
Re2IrPt | PBE-GGA | optimized geometry

* space-group type: No. 99

Lattice parameters (Å, degrees): 2.7472 2.7472 7.9379 90.00 90.00 90.00
Last column: nearest neighbours and their distance in Å.
Atoms (fractional coordinates):
Re  0.0000  0.0000  0.0000  8 Re 2.75-2.79, 4 Pt 2.76
Re  0.5000  0.5000  0.2524  4 Ir 2.68, 8 Re 2.75-2.79
Ir  0.0000  0.0000  0.4844  4 Re 2.68, 4 Ir 2.75, 4 Pt 2.88
Pt  0.5000  0.5000  0.7528  4 Pt 2.75, 4 Re 2.76, 4 Ir 2.88

=====

The most stable arrangement is entry C, and the next structure is 20 meV per atom less stable.

=====

Entry A
Re2IrPt | PBE-GGA | optimized geometry

* space-group type: No. 122

Lattice parameters (Å, degrees): 6.3709 6.3709 6.3709 123.50 123.50 84.04
Last column: nearest neighbours and their distance in Å.
Atoms (fractional coordinates):
Re  0.1182  0.6250  0.9932  2 Ir 2.41, 2 Pt 2.46
Re  0.3750  0.3682  0.4932  2 Ir 2.41, 2 Pt 2.46
Re  0.6318  0.1250  0.0068  2 Ir 2.41, 2 Pt 2.46
Re  0.8750  0.8818  0.5068  2 Ir 2.41, 2 Pt 2.46
Ir  0.0000  0.0000  0.0000  4 Re 2.41
Ir  0.7500  0.2500  0.5000  4 Re 2.41
Pt  0.2500  0.7500  0.5000  4 Re 2.46
Pt  0.5000  0.5000  0.0000  4 Re 2.46

=====

Entry B
Re2IrPt | PBE-GGA | optimized geometry

* space-group type: No. 166

Lattice parameters (Å, degrees): 9.1472 9.1472 9.1472 17.38 17.38 17.38
Last column: nearest neighbours and their distance in Å.
Atoms (fractional coordinates):
Re  0.2485  0.2485  0.2485  3 Ir 2.73, 6 Re 2.76, 3 Pt 2.79
Re  0.7515  0.7515  0.7515  3 Ir 2.73, 6 Re 2.76, 3 Pt 2.79
Ir  0.5000  0.5000  0.5000  6 Re 2.73, 6 Ir 2.76
Pt  0.0000  0.0000  0.0000  6 Pt 2.76, 6 Re 2.79

=====

The most stable arrangement is entry B, and the next structure is 1151 meV per atom less stable.

=====

Entry A
Re2IrPt | PBE-GGA | optimized geometry

* space-group type: No. 65

Lattice parameters (Å, degrees): 4.8482 4.8482 2.7249 90.00 90.00 111.89
Last column: nearest neighbours and their distance in Å.
Atoms (fractional coordinates):
Re  0.0000  0.5000  0.0000  4 Re 2.71-2.72, 4 Ir 2.78, 4 Pt 2.78
Re  0.5000  0.0000  0.0000  4 Re 2.71-2.72, 4 Ir 2.78, 4 Pt 2.78
Ir  0.0000  0.0000  0.5000  2 Pt 2.71, 2 Ir 2.72, 8 Re 2.78
Pt  0.5000  0.5000  0.5000  2 Ir 2.71, 2 Pt 2.72, 8 Re 2.78

=====

Entry B
Re2IrPt | PBE-GGA | optimized geometry

* space-group type: No. 8

Lattice parameters (Å, degrees): 4.7922 4.7922 4.8348 98.78 98.78 32.98
Last column: nearest neighbours and their distance in Å.
Atoms (fractional coordinates):
Re  0.0000  0.0000  0.0000  3 Ir 2.69-2.77, 5 Re 2.72-2.80, 4 Pt 2.76-2.78
Re  0.7467  0.7467  0.2557  5 Re 2.72-2.80, 4 Ir 2.72-2.83, 3 Pt 2.74-2.77
Ir  0.2580  0.2580  0.7719  7 Re 2.69-2.83, 2 Ir 2.72, 3 Pt 2.73-2.88
Pt  0.4974  0.4974  0.5017  2 Pt 2.72, 3 Ir 2.73-2.88, 7 Re 2.74-2.78

=====

The most stable arrangement is entry B, and the next structure is 31 meV per atom less stable.